Arrangement A

First-principles (PBE) data for LiZn6Cd after structural relaxation, as listed in the Alexandria database.

Unit cell a=5.092 b=5.092 c=5.092 alpha=90.00 beta=90.00 gamma=90.00
Positions (direct):
Zn 0.500 0.743 0.000
Zn 0.257 0.000 0.500
Li 0.500 0.500 0.500
Zn 0.743 0.000 0.500
Cd 0.000 0.000 0.000
Zn 0.000 0.500 0.257
Zn 0.000 0.500 0.743
Zn 0.500 0.257 0.000

Properties
M_tot: 0.00 μB per formula unit
SG: Pm-3 (200)

Arrangement B

First-principles (PBE) data for LiZn6Cd after structural relaxation, as listed in the Alexandria database.

Unit cell a=4.359 b=5.027 c=5.771 alpha=90.00 beta=90.00 gamma=90.00
Positions (direct):
Zn 0.000 0.673 0.500
Zn 0.000 0.172 0.734
Cd 0.000 0.649 0.000
Zn 0.500 0.852 0.271
Zn 0.500 0.852 0.729
Zn 0.000 0.172 0.266
Zn 0.500 0.277 0.000
Li 0.500 0.353 0.500

Properties
M_tot: 0.00 μB per formula unit
SG: Pmm2 (25)

In terms of stability, arrangement B leads; the second structure lies 8.4 kJ/mol of atoms higher.

Arrangement A

First-principles (PBE) data for Li3Zn4Cd after structural relaxation, as listed in the Alexandria database.

Unit cell a=5.914 b=5.914 c=5.914 alpha=78.89 beta=126.40 gamma=126.83
Positions (direct):
Li 0.583 0.756 0.339
Zn 0.573 0.247 0.326
Zn 0.082 0.758 0.840
Zn 0.082 0.242 0.325
Zn 0.080 0.753 0.326
Li 0.836 0.000 0.836
Cd 0.333 0.500 0.833
Li 0.583 0.244 0.827

Properties
M_tot: 0.00 μB per formula unit
SG: Imm2 (44)

Arrangement B

First-principles (PBE) data for Li3Zn4Cd after structural relaxation, as listed in the Alexandria database.

Unit cell a=3.113 b=4.450 c=9.368 alpha=76.51 beta=99.92 gamma=89.97
Positions (direct):
Zn 0.117 0.383 0.237
Zn 0.736 0.263 0.474
Cd 0.000 0.000 0.000
Li 0.500 0.500 0.000
Li 0.365 0.134 0.731
Zn 0.264 0.737 0.526
Li 0.635 0.866 0.269
Zn 0.883 0.617 0.763

Properties
M_tot: 0.00 μB per formula unit
SG: P-1 (2)

In terms of stability, arrangement B leads; the second structure lies 8.5 kJ/mol of atoms higher.